No. 1
First-principles (PBE) data for Ba2Sb2Pb after structural relaxation, as listed in Alexandria via LeMat-Bulk.

```
Ba2Sb2Pb
1.0
9.599 0.000 0.000
0.000 9.599 0.000
0.000 0.000 4.193
Ba Sb Pb
4 4 2
Direct
0.131 0.369 0.000
0.369 0.869 0.000
0.631 0.131 0.000
0.869 0.631 0.000
0.173 0.673 0.500
0.327 0.173 0.500
0.673 0.827 0.500
0.827 0.327 0.500
0.000 0.000 0.000
0.500 0.500 0.000
```

Properties
Polymorph energy (0 for the lowest one) ... 0.319 eV/atom
N(E_F) ... 0.6416 states/eV per atom



No. 2
First-principles (PBE) data for Ba3SbPb after structural relaxation, as listed in Alexandria via LeMat-Bulk.

```
Ba3SbPb
1.0
6.588 0.000 0.000
0.000 6.588 0.000
0.000 0.000 6.588
Ba Sb Pb
3 1 1
Direct
0.000 0.000 0.500
0.000 0.500 0.000
0.500 0.000 0.000
0.000 0.000 0.000
0.500 0.500 0.500
```

Properties
Polymorph energy (0 for the lowest one) ... 0.339 eV/atom
N(E_F) ... 1.8025 states/eV per atom



No. 3
First-principles (PBE) data for Ba3SbPb after structural relaxation, as listed in Alexandria via LeMat-Bulk.

```
Ba3SbPb
1.0
10.578 0.000 0.000
0.000 9.197 0.000
-2.104 0.000 9.469
Ba Sb Pb
12 4 4
Direct
0.075 0.007 0.204
0.075 0.493 0.704
0.295 0.630 0.088
0.295 0.870 0.588
0.369 0.206 0.967
0.369 0.294 0.467
0.631 0.706 0.533
0.631 0.794 0.033
0.705 0.130 0.412
0.705 0.370 0.912
0.925 0.507 0.296
0.925 0.993 0.796
0.414 0.551 0.763
0.414 0.949 0.263
0.586 0.051 0.737
0.586 0.449 0.237
0.062 0.161 0.540
0.062 0.339 0.040
0.938 0.661 0.960
0.938 0.839 0.460
```

Properties
Polymorph energy (0 for the lowest one) ... 0.000 eV/atom
N(E_F) ... 0.0813 states/eV per atom



No. 4
First-principles (PBE) data for Ba2Sb2Pb after structural relaxation, as listed in Alexandria via LeMat-Bulk.

```
Ba2Sb2Pb
1.0
10.126 0.000 0.000
0.000 9.366 0.000
-0.644 0.000 8.903
Ba Sb Pb
8 8 4
Direct
0.093 0.250 0.022
0.093 0.250 0.522
0.347 0.680 0.462
0.347 0.820 0.962
0.653 0.180 0.038
0.653 0.320 0.538
0.907 0.750 0.478
0.907 0.750 0.978
0.126 0.568 0.745
0.126 0.932 0.245
0.377 0.131 0.750
0.377 0.369 0.250
0.623 0.631 0.750
0.623 0.869 0.250
0.874 0.068 0.755
0.874 0.432 0.255
0.384 0.066 0.368
0.384 0.434 0.868
0.616 0.566 0.132
0.616 0.934 0.632
```

Properties
Polymorph energy (0 for the lowest one) ... 0.028 eV/atom



No. 5
First-principles (PBE) data for Ba5SbPb2 after structural relaxation, as listed in Alexandria via LeMat-Bulk.

```
Ba5SbPb2
1.0
-4.631 4.631 8.251
4.631 -4.631 8.251
4.631 4.631 -8.251
Ba Sb Pb
10 2 4
Direct
0.000 0.000 0.000
0.024 0.524 0.842
0.182 0.024 0.500
0.318 0.818 0.842
0.476 0.318 0.500
0.500 0.500 0.000
0.524 0.682 0.500
0.682 0.182 0.158
0.818 0.976 0.500
0.976 0.476 0.158
0.250 0.250 0.000
0.750 0.750 0.000
0.122 0.378 0.500
0.378 0.878 0.257
0.622 0.122 0.743
0.878 0.622 0.500
```

Properties
N(E_F) ... 0.2672 states/eV per atom



No. 6
First-principles (PBE) data for BaSbPb after structural relaxation, as listed in Alexandria via LeMat-Bulk.

```
BaSbPb
1.0
6.429 -2.262 0.000
6.429 2.262 0.000
-2.126 0.000 8.097
Ba Sb Pb
2 2 2
Direct
0.153 0.153 0.176
0.847 0.847 0.824
0.428 0.428 0.172
0.572 0.572 0.828
0.115 0.115 0.611
0.885 0.885 0.389
```

Properties
Polymorph energy (0 for the lowest one) ... 0.062 eV/atom
N(E_F) ... 0.0561 states/eV per atom



No. 7
First-principles (PBE) data for Ba2Sb3Pb after structural relaxation, as listed in Alexandria via LeMat-Bulk.

```
Ba2Sb3Pb
1.0
8.571 0.000 0.000
0.000 5.112 0.000
0.000 0.000 20.859
Ba Sb Pb
8 12 4
Direct
0.113 0.250 0.091
0.125 0.250 0.295
0.375 0.750 0.795
0.387 0.750 0.591
0.613 0.250 0.409
0.625 0.250 0.205
0.875 0.750 0.705
0.887 0.750 0.909
0.084 0.250 0.814
0.187 0.250 0.684
0.237 0.250 0.483
0.263 0.750 0.983
0.313 0.750 0.184
0.416 0.750 0.314
0.584 0.250 0.686
0.687 0.250 0.816
0.737 0.250 0.017
0.763 0.750 0.517
0.813 0.750 0.316
0.916 0.750 0.186
0.070 0.750 0.433
0.430 0.250 0.933
0.570 0.750 0.067
0.930 0.250 0.567
```

Properties
N(E_F) ... 0.2946 states/eV per atom



No. 8
First-principles (PBE) data for BaSb3Pb after structural relaxation, as listed in Alexandria via LeMat-Bulk.

```
BaSb3Pb
1.0
5.843 0.000 0.000
0.000 5.843 0.000
0.000 0.000 5.843
Ba Sb Pb
1 3 1
Direct
0.000 0.000 0.000
0.000 0.500 0.500
0.500 0.000 0.500
0.500 0.500 0.000
0.500 0.500 0.500
```

Properties
Polymorph energy (0 for the lowest one) ... 0.000 eV/atom
N(E_F) ... 1.2282 states/eV per atom



No. 9
First-principles (PBE) data for BaSbPb after structural relaxation, as listed in Alexandria via LeMat-Bulk.

```
BaSbPb
1.0
4.679 0.000 0.000
0.000 2.672 4.620
0.000 -2.672 4.620
Ba Sb Pb
1 1 1
Direct
0.000 0.000 0.000
0.500 0.667 0.667
0.500 0.333 0.333
```

Properties
Polymorph energy (0 for the lowest one) ... 0.077 eV/atom
N(E_F) ... 0.4492 states/eV per atom



No. 10
First-principles (PBE) data for Ba2Sb2Pb after structural relaxation, as listed in Alexandria via LeMat-Bulk.

```
Ba2Sb2Pb
1.0
8.568 0.000 0.000
0.000 8.568 0.000
0.000 0.000 5.117
Ba Sb Pb
4 4 2
Direct
0.178 0.322 0.000
0.322 0.822 0.000
0.678 0.178 0.000
0.822 0.678 0.000
0.122 0.622 0.500
0.378 0.122 0.500
0.622 0.878 0.500
0.878 0.378 0.500
0.000 0.000 0.500
0.500 0.500 0.500
```

Properties
Polymorph energy (0 for the lowest one) ... 0.000 eV/atom
N(E_F) ... 0.3583 states/eV per atom



No. 11
First-principles (PBE) data for BaSb3Pb3 after structural relaxation, as listed in Alexandria via LeMat-Bulk.

```
BaSb3Pb3
1.0
8.589 0.000 0.000
0.000 8.589 0.000
0.000 0.000 8.589
Ba Sb Pb
2 6 6
Direct
0.000 0.000 0.000
0.500 0.500 0.500
0.000 0.250 0.500
0.000 0.750 0.500
0.250 0.500 0.000
0.500 0.000 0.250
0.500 0.000 0.750
0.750 0.500 0.000
0.000 0.500 0.250
0.000 0.500 0.750
0.250 0.000 0.500
0.500 0.250 0.000
0.500 0.750 0.000
0.750 0.000 0.500
```

Properties
Polymorph energy (0 for the lowest one) ... 0.267 eV/atom
N(E_F) ... 0.6040 states/eV per atom



No. 12
First-principles (PBE) data for Ba2Sb3Pb2 after structural relaxation, as listed in Alexandria via LeMat-Bulk.

```
Ba2Sb3Pb2
1.0
8.794 -2.585 0.000
8.794 2.585 0.000
-7.914 0.000 11.924
Ba Sb Pb
4 6 4
Direct
0.080 0.080 0.323
0.147 0.147 0.047
0.853 0.853 0.953
0.920 0.920 0.677
0.173 0.173 0.820
0.343 0.343 0.471
0.471 0.471 0.883
0.529 0.529 0.117
0.657 0.657 0.529
0.827 0.827 0.180
0.252 0.252 0.675
0.422 0.422 0.326
0.578 0.578 0.674
0.748 0.748 0.325
```

Properties
N(E_F) ... 0.2260 states/eV per atom



No. 13
First-principles (PBE) data for BaSb3Pb after structural relaxation, as listed in Alexandria via LeMat-Bulk.

```
BaSb3Pb
1.0
6.131 0.000 0.000
0.000 6.131 0.000
0.000 0.000 6.131
Ba Sb Pb
1 3 1
Direct
0.000 0.000 0.000
0.000 0.000 0.500
0.000 0.500 0.000
0.500 0.000 0.000
0.500 0.500 0.500
```

Properties
Polymorph energy (0 for the lowest one) ... 0.684 eV/atom
N(E_F) ... 0.7854 states/eV per atom



No. 14
First-principles (PBE) data for Ba2Sb2Pb after structural relaxation, as listed in Alexandria via LeMat-Bulk.

```
Ba2Sb2Pb
1.0
6.488 -2.538 0.000
6.488 2.538 0.000
-6.342 0.000 12.057
Ba Sb Pb
4 4 2
Direct
0.046 0.046 0.356
0.189 0.189 0.099
0.811 0.811 0.901
0.954 0.954 0.644
0.373 0.373 0.416
0.478 0.478 0.100
0.522 0.522 0.900
0.627 0.627 0.584
0.272 0.272 0.693
0.728 0.728 0.307
```

Properties
Polymorph energy (0 for the lowest one) ... 0.076 eV/atom
N(E_F) ... 0.4824 states/eV per atom



No. 15
First-principles (PBE) data for BaSb2Pb6 after structural relaxation, as listed in Alexandria via LeMat-Bulk.

```
BaSb2Pb6
1.0
4.915 0.000 0.000
0.000 4.915 0.000
0.000 0.000 12.707
Ba Sb Pb
1 2 6
Direct
0.000 0.000 0.000
0.500 0.500 0.116
0.500 0.500 0.884
0.000 0.000 0.500
0.000 0.500 0.294
0.000 0.500 0.706
0.500 0.000 0.294
0.500 0.000 0.706
0.500 0.500 0.500
```

Properties
N(E_F) ... 0.6876 states/eV per atom



No. 16
First-principles (PBE) data for BaSbPb after structural relaxation, as listed in Alexandria via LeMat-Bulk.

```
BaSbPb
1.0
0.000 3.983 3.983
3.983 0.000 3.983
3.983 3.983 0.000
Ba Sb Pb
1 1 1
Direct
0.000 0.000 0.000
0.750 0.750 0.750
0.500 0.500 0.500
```

Properties
Polymorph energy (0 for the lowest one) ... 0.208 eV/atom
N(E_F) ... 0.6567 states/eV per atom



No. 17
First-principles (PBE) data for BaSbPb after structural relaxation, as listed in Alexandria via LeMat-Bulk.

```
BaSbPb
1.0
6.212 -2.326 0.000
6.212 2.326 0.000
-1.152 0.000 8.037
Ba Sb Pb
2 2 2
Direct
0.000 0.000 0.000
0.235 0.235 0.634
0.716 0.716 0.957
0.941 0.941 0.542
0.288 0.288 0.206
0.539 0.539 0.366
```

Properties
Polymorph energy (0 for the lowest one) ... 0.060 eV/atom
N(E_F) ... 0.0681 states/eV per atom



No. 18
First-principles (PBE) data for Ba2Sb2Pb after structural relaxation, as listed in Alexandria via LeMat-Bulk.

```
Ba2Sb2Pb
1.0
-3.030 3.030 6.145
3.030 -3.030 6.145
3.030 3.030 -6.145
Ba Sb Pb
2 2 1
Direct
0.250 0.750 0.500
0.750 0.250 0.500
0.114 0.114 0.000
0.886 0.886 0.000
0.500 0.500 0.000
```

Properties
Polymorph energy (0 for the lowest one) ... 0.490 eV/atom
N(E_F) ... 1.0291 states/eV per atom



No. 19
First-principles (PBE) data for BaSbPb after structural relaxation, as listed in Alexandria via LeMat-Bulk.

```
BaSbPb
1.0
4.488 0.000 0.000
0.000 5.620 0.000
-1.001 0.000 9.508
Ba Sb Pb
2 2 2
Direct
0.212 0.250 0.332
0.788 0.750 0.668
0.291 0.250 0.704
0.709 0.750 0.296
0.145 0.750 0.065
0.855 0.250 0.935
```

Properties
Polymorph energy (0 for the lowest one) ... 0.071 eV/atom
N(E_F) ... 0.3764 states/eV per atom



No. 20
First-principles (PBE) data for BaSbPb after structural relaxation, as listed in Alexandria via LeMat-Bulk.

```
BaSbPb
1.0
5.776 -2.600 0.000
5.776 2.600 0.000
-1.457 0.000 7.529
Ba Sb Pb
2 2 2
Direct
0.000 0.000 0.000
0.739 0.739 0.363
0.420 0.420 0.265
0.683 0.683 0.819
0.074 0.074 0.558
0.411 0.411 0.663
```

Properties
Polymorph energy (0 for the lowest one) ... 0.075 eV/atom
N(E_F) ... 0.1231 states/eV per atom



No. 21
First-principles (PBE) data for BaSbPb after structural relaxation, as listed in Alexandria via LeMat-Bulk.

```
BaSbPb
1.0
6.636 -2.413 0.000
6.636 2.413 0.000
-0.549 0.000 7.249
Ba Sb Pb
2 2 2
Direct
0.000 0.000 0.000
0.702 0.702 0.628
0.018 0.018 0.492
0.306 0.306 0.970
0.375 0.375 0.397
0.699 0.699 0.141
```

Properties
Polymorph energy (0 for the lowest one) ... 0.074 eV/atom
N(E_F) ... 0.2044 states/eV per atom



No. 22
First-principles (PBE) data for BaSbPb after structural relaxation, as listed in Alexandria via LeMat-Bulk.

```
BaSbPb
1.0
5.041 0.000 0.000
2.372 5.885 0.000
0.091 2.810 7.842
Ba Sb Pb
2 2 2
Direct
0.071 0.356 0.299
0.929 0.644 0.701
0.397 0.740 0.371
0.603 0.260 0.629
0.325 0.846 0.980
0.675 0.154 0.020
```

Properties
Polymorph energy (0 for the lowest one) ... 0.073 eV/atom
N(E_F) ... 0.1993 states/eV per atom



Number 1: ΔE_f (raw) -0.4514 eV/atom. Number 2: ΔE_f (raw) -0.4288 eV/atom. Number 3: ΔE_f (raw) -0.7682 eV/atom. Number 4: ΔE_f (raw) -0.7423 eV/atom. Number 5: ΔE_f (raw) -0.6789 eV/atom. Number 6: ΔE_f (raw) -0.6073 eV/atom. Number 7: ΔE_f (raw) -0.6870 eV/atom. Number 8: ΔE_f (raw) 0.1343 eV/atom. Number 9: ΔE_f (raw) -0.5926 eV/atom. Number 10: ΔE_f (raw) -0.7699 eV/atom. Number 11: ΔE_f (raw) 0.0262 eV/atom. Number 12: ΔE_f (raw) -0.5741 eV/atom. Number 13: ΔE_f (raw) 0.8179 eV/atom. Number 14: ΔE_f (raw) -0.6937 eV/atom. Number 15: ΔE_f (raw) -0.2176 eV/atom. Number 16: ΔE_f (raw) -0.4616 eV/atom. Number 17: ΔE_f (raw) -0.6095 eV/atom. Number 18: ΔE_f (raw) -0.2801 eV/atom. Number 19: ΔE_f (raw) -0.5988 eV/atom. Number 20: ΔE_f (raw) -0.5940 eV/atom. Number 21: ΔE_f (raw) -0.5954 eV/atom. Number 22: ΔE_f (raw) -0.5964 eV/atom.